Entry one
Density functional theory data (PBE) for NaDyY after structural relaxation.

The space group is P3m1 (No. 156) and the conventional cell measures 3.5437, 3.5437 and 9.1451 Å, with angles of 90.00, 90.00 and 120.00 degrees. The distinct sites, in fractional coordinates, are Na at (0.0000, 0.0000, 0.0000), Dy at (0.6667, 0.3333, 0.3492) and Y at (0.3333, 0.6667, 0.6504).

As for the calculated volume: 99.5 Å³/cell.

---

Entry two
Density functional theory data (PBE) for NaDyY after structural relaxation.

The space group is I4mm (No. 107) and the conventional cell measures 3.500, 3.500 and 16.233 Å, with angles of 90.00, 90.00 and 90.00 degrees. The distinct sites, in fractional coordinates, are Na at (0.000, 0.000, 0.000), Dy at (0.000, 0.000, 0.324) and Y at (0.000, 0.000, 0.676).

As for the calculated volume: 198.8 Å³/cell.

---

Entry three
Density functional theory data (PBE) for NaDyY after structural relaxation.

The space group is P4/nmm (No. 129, origin choice 2) and the conventional cell measures 3.518, 3.518 and 16.271 Å, with angles of 90.00, 90.00 and 90.00 degrees. The distinct sites, in fractional coordinates, are Na at (0.250, 0.250, 0.093), Dy at (0.250, 0.250, 0.733) and Y at (0.250, 0.250, 0.419).

As for the calculated volume: 201.4 Å³/cell.

---

The structure with the greatest stability is entry three.